A plane-wave DFT calculation with GGA-PBE was carried out for Pm3PrTl4Se8 after structural relaxation.

ΔE_f (raw) = -1.38 eV per atom

abc: 8.620 9.217 8.621
angles: 117.89 120.00 90.00
Positions (direct):
Se 0.239 0.711 0.972
Se 0.238 0.711 0.477
Se 0.762 0.289 0.523
Se 0.761 0.289 0.028
Se 0.734 0.711 0.972
Se 0.264 0.291 0.527
Se 0.736 0.709 0.473
Se 0.266 0.289 0.028
Pm 0.500 0.500 0.500
Pm 0.000 0.500 0.500
Pm 0.500 0.500 0.000
Tl 0.000 0.000 0.000
Tl 0.000 0.000 0.500
Tl 0.500 0.000 0.500
Tl 0.500 0.000 0.000
Pr 0.000 0.500 0.000